A plane-wave DFT calculation with GGA-PBE was carried out for VPH3 after structural relaxation.

- Density: 3.618 g/cm³
- Distance to the lowest polymorph of the same formula: 304 meV/atom
- Electronic total energy: -4.159 eV/atom
- Calculated volume: 7.80 Å³ per atom

a b c (Å): 3.3906 3.3906 3.3906
angles (deg): 90.00 90.00 90.00
Space group Pm-3m (No. 221)
Symmetry-distinct sites (fractional):
V  0.0000  0.0000  0.0000 (multiplicity 1)
P  0.5000  0.5000  0.5000 (multiplicity 1)
H  0.0000  0.5000  0.5000 (multiplicity 3)

=====

A plane-wave DFT calculation with GGA-PBE was carried out for K2PaTc2N4 after structural relaxation.

- Density: 5.679 g/cm³
- Electronic total energy: -7.781 eV/atom
- Formation energy from raw total energies: -0.48 eV per atom
- Calculated volume: 18.24 Å³ per atom

a b c (Å): 14.0218 3.4819 6.7323
angles (deg): 90.00 93.00 90.00
Space group C2/m (No. 12)
Symmetry-distinct sites (fractional):
K  0.1253  0.0000  0.0185 (multiplicity 4)
Pa  0.0000  0.0000  0.5000 (multiplicity 2)
Tc  0.1927  0.5000  0.5783 (multiplicity 4)
N  0.0582  0.5000  0.6906 (multiplicity 4)
N  0.1617  0.0000  0.4268 (multiplicity 4)

=====

A plane-wave DFT calculation with GGA-PBE was carried out for CsTc3Te after structural relaxation.

- Density: 7.013 g/cm³
- Distance to the lowest polymorph of the same formula: 0 meV/atom
- Electronic total energy: -5.243 eV/atom
- Formation energy from raw total energies: 1.78 eV per atom
- Calculated volume: 26.26 Å³ per atom

a b c (Å): 5.0825 5.0825 5.0825
angles (deg): 90.00 90.00 90.00
Space group Pm-3m (No. 221)
Symmetry-distinct sites (fractional):
Cs  0.0000  0.0000  0.0000 (multiplicity 1)
Tc  0.0000  0.5000  0.5000 (multiplicity 3)
Te  0.5000  0.5000  0.5000 (multiplicity 1)

=====

A plane-wave DFT calculation with GGA-PBE was carried out for SiGeH3 after structural relaxation.

- Density: 1.946 g/cm³
- Distance to the lowest polymorph of the same formula: 0 meV/atom
- Electronic total energy: -3.874 eV/atom
- Calculated volume: 17.71 Å³ per atom

a b c (Å): 6.5205 4.1249 6.8763
angles (deg): 90.00 106.80 90.00
Space group P2_1 (No. 4)
Symmetry-distinct sites (fractional):
Si  0.2378  0.0000  0.2731 (multiplicity 2)
Ge  0.4988  0.4369  0.9081 (multiplicity 2)
H  0.0229  0.8632  0.1637 (multiplicity 2)
H  0.2120  0.3553  0.2990 (multiplicity 2)
H  0.3131  0.8535  0.4807 (multiplicity 2)

=====

A plane-wave DFT calculation with GGA-PBE was carried out for MnCr2Mo after structural relaxation.

- ΔH_f (0 K): 0.09 eV per atom
- Density: 8.146 g/cm³
- Distance to the lowest polymorph of the same formula: 0 meV/atom
- Electronic total energy: -9.723 eV/atom
- Calculated volume: 12.99 Å³ per atom

a b c (Å): 4.1593 4.1593 3.0030
angles (deg): 90.00 90.00 90.00
Space group P4/mmm (No. 123)
Symmetry-distinct sites (fractional):
Mn  0.0000  0.0000  0.0000 (multiplicity 1)
Cr  0.0000  0.5000  0.5000 (multiplicity 2)
Mo  0.5000  0.5000  0.0000 (multiplicity 1)

=====

A plane-wave DFT calculation with GGA-PBE was carried out for Mn2BeCu after structural relaxation.

- ΔH_f (0 K): 0.12 eV per atom
- Density: 6.933 g/cm³
- Electronic total energy: -6.421 eV/atom
- Calculated volume: 10.92 Å³ per atom

a b c (Å): 2.8100 3.7928 4.0996
angles (deg): 90.00 90.00 90.00
Space group Pmmm (No. 47)
Symmetry-distinct sites (fractional):
Mn  0.0000  0.0000  0.0000 (multiplicity 1)
Mn  0.5000  0.5000  0.0000 (multiplicity 1)
Be  0.0000  0.5000  0.5000 (multiplicity 1)
Cu  0.5000  0.0000  0.5000 (multiplicity 1)